InAs3 | GGA-PBE | optimized geometry

a = 6.030 Å, b = 7.457 Å, c = 3.776 Å
α = 90.00°, β = 90.00°, γ = 90.00°
Space group Cmmm (No. 65)
Unique sites:
In  0.000  0.000  0.000 x2
As  0.000  0.500  0.000 x2
As  0.250  0.250  0.500 x4

Computed properties:
The final energy is -30.7 eV for the cell shown. The density of states at the Fermi level comes out at 4.7 states/eV/cell.